(1)
Material: TmReRu
Method: DFT, PBE-GGA
State: relaxed

Output
mass density	13.86	g/cm3
magnetization	0.000	μB per formula unit
total DFT energy (no corrections)	-8.54	eV/atom
DFT formation energy	0.19	eV/atom

a = 5.0134 Å, b = 8.8021 Å, c = 19.8114 Å
α = 90.00°, β = 90.00°, γ = 90.00°
With the nearest neighbours (Å) after each atom.
Space group Fddd (No. 70, origin choice 2)
Asymmetric unit:
Tm 0.1250 0.2939 0.1250 [16 per cell]  4 Re 2.87-2.88, 3 Tm 2.88-2.97, 6 Ru 3.19
Re 0.1250 0.1250 0.0003 [16 per cell]  2 Re 2.53, 4 Ru 2.76-2.79
Ru 0.1250 0.1250 0.5589 [16 per cell]  1 Ru 2.62, 4 Re 2.76-2.79

(2)
Material: Tm2Re3Ru
Method: DFT, PBE-GGA
State: relaxed

Output
mass density	15.14	g/cm3
magnetization	0.000	μB per formula unit
total DFT energy (no corrections)	-9.54	eV/atom
DFT formation energy	-0.28	eV/atom

a = 9.0899 Å, b = 5.2542 Å, c = 5.4971 Å
α = 90.00°, β = 123.57°, γ = 90.00°
With the nearest neighbours (Å) after each atom.
Space group C2/m (No. 12)
Asymmetric unit:
Tm 0.1257 0.0000 0.3769 [4 per cell]  3 Ru 3.08-3.09, 9 Re 3.14-3.23, 3 Tm 3.23-3.24
Re 0.0000 0.5000 0.0000 [2 per cell]  4 Re 2.62, 2 Ru 2.75
Re 0.2500 0.2500 0.0000 [4 per cell]  4 Re 2.62-2.63, 2 Ru 2.75
Ru 0.0000 0.5000 0.5000 [2 per cell]  6 Re 2.75

(3)
Material: UReRu
Method: DFT, PBE-GGA
State: relaxed

Output
mass density	16.95	g/cm3
offset from the most stable computed form	0.0000	eV per atom
magnetization	0.972	μB per formula unit
total DFT energy (no corrections)	-10.93	eV/atom
DFT formation energy	0.08	eV/atom

a = 2.8732 Å, b = 2.8732 Å, c = 12.4712 Å
α = 90.00°, β = 90.00°, γ = 90.00°
With the nearest neighbours (Å) after each atom.
Space group I4mm (No. 107)
Asymmetric unit:
U 0.0000 0.0000 0.0000 [2 per cell]  4 U 2.87, 4 Ru 3.05, 4 Re 3.08
Re 0.0000 0.0000 0.6859 [2 per cell]  4 Ru 2.61, 4 Re 2.87
Ru 0.0000 0.0000 0.3174 [2 per cell]  4 Re 2.61, 4 Ru 2.87

(4)
Material: U6ReRu2
Method: DFT, PBE-GGA
State: relaxed

Output
mass density	17.39	g/cm3
magnetization	0.000	μB per formula unit
total DFT energy (no corrections)	-10.79	eV/atom
DFT formation energy	0.18	eV/atom

a = 11.9698 Å, b = 5.7367 Å, c = 5.1612 Å
α = 90.00°, β = 101.76°, γ = 90.00°
With the nearest neighbours (Å) after each atom.
Space group C2/m (No. 12)
Asymmetric unit:
U 0.1196 0.2249 0.0734 [8 per cell]  3 U 2.58-2.81, 1 Ru 2.64
U 0.2201 0.0000 0.5870 [4 per cell]  1 Re 2.58, 1 Ru 2.72, 2 U 2.81
Re 0.0000 0.0000 0.5000 [2 per cell]  2 U 2.58
Ru 0.0989 0.5000 0.6566 [4 per cell]  1 Ru 2.58, 3 U 2.64-2.72

(5)
Material: URe2Ru
Method: DFT, PBE-GGA
State: relaxed

Output
mass density	17.83	g/cm3
magnetization	0.000	μB per formula unit
total DFT energy (no corrections)	-11.32	eV/atom
DFT formation energy	0.05	eV/atom

a = 4.0300 Å, b = 4.0300 Å, c = 4.0800 Å
α = 90.00°, β = 90.00°, γ = 90.00°
With the nearest neighbours (Å) after each atom.
Space group P4/mmm (No. 123)
Asymmetric unit:
U 0.0000 0.0000 0.0000 [1 per cell]  4 Ru 2.85, 8 Re 2.87
Re 0.0000 0.5000 0.5000 [2 per cell]  4 Re 2.85, 4 Ru 2.87, 4 U 2.87
Ru 0.5000 0.5000 0.0000 [1 per cell]  4 U 2.85, 8 Re 2.87

(6)
Material: UReRu
Method: DFT, PBE-GGA
State: relaxed

Output
mass density	17.31	g/cm3
offset from the most stable computed form	0.1115	eV per atom
magnetization	0.211	μB per formula unit
total DFT energy (no corrections)	-10.82	eV/atom
DFT formation energy	0.19	eV/atom

a = 2.8079 Å, b = 2.8079 Å, c = 7.3811 Å
α = 90.00°, β = 90.00°, γ = 120.00°
With the nearest neighbours (Å) after each atom.
Space group P3m1 (No. 156)
Asymmetric unit:
U 0.0000 0.0000 0.0000 [1 per cell]  6 U 2.81, 3 Ru 3.06
Re 0.6667 0.3333 0.3674 [1 per cell]  3 Ru 2.63, 6 Re 2.81
Ru 0.3333 0.6667 0.6486 [1 per cell]  3 Re 2.63, 6 Ru 2.81

(7)
Material: ZrUReRu
Method: DFT, PBE-GGA
State: relaxed

Output
mass density	13.72	g/cm3
magnetization	1.490	μB per formula unit
total DFT energy (no corrections)	-10.52	eV/atom
DFT formation energy	-0.13	eV/atom

a = 6.6838 Å, b = 6.6838 Å, c = 6.6838 Å
α = 90.00°, β = 90.00°, γ = 90.00°
With the nearest neighbours (Å) after each atom.
Space group F-43m (No. 216)
Asymmetric unit:
Zr 0.0000 0.0000 0.0000 [4 per cell]  4 Re 2.89, 4 Ru 2.89
U 0.0000 0.0000 0.5000 [4 per cell]  4 Ru 2.89, 4 Re 2.89
Re 0.2500 0.2500 0.2500 [4 per cell]  4 Zr 2.89, 4 U 2.89
Ru 0.2500 0.2500 0.7500 [4 per cell]  4 Zr 2.89, 4 U 2.89

(8)
Material: V14ReRu
Method: DFT, PBE-GGA
State: relaxed

Output
mass density	7.69	g/cm3
magnetization	0.002	μB per formula unit
total DFT energy (no corrections)	-9.49	eV/atom
DFT formation energy	-0.15	eV/atom

a = 5.9926 Å, b = 5.9926 Å, c = 6.0126 Å
α = 90.00°, β = 90.00°, γ = 90.00°
With the nearest neighbours (Å) after each atom.
Space group P4/mmm (No. 123)
Asymmetric unit:
V 0.0000 0.0000 0.0000 [1 per cell]  8 V 2.60
V 0.0000 0.5000 0.0000 [2 per cell]  8 V 2.60
V 0.0000 0.5000 0.5000 [2 per cell]  8 V 2.60
V 0.2503 0.2503 0.2495 [8 per cell]  6 V 2.59-2.60, 1 Ru 2.60, 1 Re 2.60
V 0.5000 0.5000 0.0000 [1 per cell]  8 V 2.59
Re 0.0000 0.0000 0.5000 [1 per cell]  8 V 2.60
Ru 0.5000 0.5000 0.5000 [1 per cell]  8 V 2.60